Below is a relaxed structure of TmCuTe2, with properties calculated at the PBE-GGA level.

Cell: 4.3413 4.3413 6.8783 Å, 90.00 90.00 120.00°
Last column: nearest neighbours and their distance in Å.
Positions (direct):
Tm (0.0000, 0.0000, 0.0000)  6 Te 3.01-3.13
Cu (0.3333, 0.6667, 0.6267)  4 Te 2.60-2.64
Te (0.3333, 0.6667, 0.2430)  1 Cu 2.64
Te (0.6667, 0.3333, 0.7266)  3 Cu 2.60

Properties
* total moment: 0.0 μB/f.u.
* raw total energy: -4.4733 eV per atom